(1)
Crystalline Dy8YTm4 at its relaxed geometry, computed with PBE-GGA.

Output
total moment	0.00	μB per formula unit
symmetry	R-3m, No. 166
DOS(E_F)	15.77	states/eV/f.u.
E_form	0.226	eV per atom
calculated total energy	-4.48	eV/atom

a = 9.9981 Å, b = 9.9981 Å, c = 9.9981 Å
α = 42.29°, β = 42.29°, γ = 42.29°
Sites, in units of the cell vectors:
Dy  0.1984  0.7512  0.7512
Dy  0.2160  0.2160  0.2160
Dy  0.2488  0.2488  0.8016
Dy  0.2488  0.8016  0.2488
Dy  0.7512  0.1984  0.7512
Dy  0.7512  0.7512  0.1984
Dy  0.7840  0.7840  0.7840
Dy  0.8016  0.2488  0.2488
Y  0.5000  0.5000  0.5000
Tm  0.0000  0.0000  0.0000
Tm  0.0000  0.5000  0.5000
Tm  0.5000  0.0000  0.5000
Tm  0.5000  0.5000  0.0000

---

(2)
Crystalline TaAsRh2 at its relaxed geometry, computed with PBE-GGA.

Output
total moment	0.00	μB per formula unit
symmetry	Pmmm, No. 47
DOS(E_F)	2.95	states/eV/f.u.
E_form	-0.410	eV per atom
calculated total energy	-8.21	eV/atom

a = 2.9983 Å, b = 3.7813 Å, c = 5.5092 Å
α = 90.00°, β = 90.00°, γ = 90.00°
Sites, in units of the cell vectors:
Ta  0.0000  0.0000  0.0000
As  0.0000  0.0000  0.5000
Rh  0.5000  0.5000  0.2454
Rh  0.5000  0.5000  0.7546

---

(3)
Crystalline ZrAlAs2 at its relaxed geometry, computed with PBE-GGA.

Output
total moment	0.00	μB per formula unit
symmetry	P2/m, No. 10
DOS(E_F)	1.58	states/eV/f.u.
E_form	-0.516	eV per atom
calculated total energy	-5.91	eV/atom

a = 3.5560 Å, b = 3.5544 Å, c = 5.9587 Å
α = 90.00°, β = 98.14°, γ = 90.00°
Sites, in units of the cell vectors:
Zr  0.0000  0.0000  0.0000
Al  0.0000  0.0000  0.5000
As  0.4587  0.5000  0.7593
As  0.5413  0.5000  0.2407

---

(4)
Crystalline Rb2UBr8 at its relaxed geometry, computed with PBE-GGA.

Output
formation energy from raw total energies	-1223	kJ/mol of formula units
total moment	0.06	μB per formula unit
symmetry	C2/m, No. 12
DOS(E_F)	14.05	states/eV/f.u.
calculated total energy	-3.57	eV/atom

a = 11.9730 Å, b = 11.9730 Å, c = 7.0201 Å
α = 106.45°, β = 106.45°, γ = 25.28°
Sites, in units of the cell vectors:
Rb  0.1872  0.1872  0.1912
Rb  0.8128  0.8128  0.8088
U  0.5000  0.5000  0.5000
Br  0.0201  0.0201  0.3033
Br  0.2183  0.2183  0.7283
Br  0.3897  0.3897  0.5475
Br  0.4312  0.4312  0.1164
Br  0.5688  0.5688  0.8836
Br  0.6103  0.6103  0.4525
Br  0.7817  0.7817  0.2717
Br  0.9799  0.9799  0.6967

---

(5)
Crystalline SrPPdPt2 at its relaxed geometry, computed with PBE-GGA.

Output
total moment	0.00	μB per formula unit
symmetry	P4/mmm, No. 123
DOS(E_F)	3.72	states/eV/f.u.
E_form	-0.637	eV per atom
calculated total energy	-5.51	eV/atom

a = 4.6596 Å, b = 4.6596 Å, c = 4.6570 Å
α = 90.00°, β = 90.00°, γ = 90.00°
Sites, in units of the cell vectors:
Sr  0.0000  0.0000  0.0000
P  0.5000  0.5000  0.5000
Pd  0.5000  0.5000  0.0000
Pt  0.0000  0.5000  0.5000
Pt  0.5000  0.0000  0.5000

---

(6)
Crystalline Tl7Pb6 at its relaxed geometry, computed with PBE-GGA.

Output
total moment	0.00	μB per formula unit
symmetry	R-3m, No. 166
DOS(E_F)	8.38	states/eV/f.u.
E_form	0.091	eV per atom
calculated total energy	-2.89	eV/atom

a = 11.9077 Å, b = 11.9077 Å, c = 11.9077 Å
α = 31.64°, β = 31.64°, γ = 31.64°
Sites, in units of the cell vectors:
Tl  0.0000  0.0000  0.0000
Tl  0.0904  0.0904  0.5838
Tl  0.0904  0.5838  0.0904
Tl  0.4162  0.9096  0.9096
Tl  0.5838  0.0904  0.0904
Tl  0.9096  0.4162  0.9096
Tl  0.9096  0.9096  0.4162
Pb  0.1661  0.1661  0.1661
Pb  0.3478  0.3478  0.3478
Pb  0.4525  0.4525  0.4525
Pb  0.5475  0.5475  0.5475
Pb  0.6522  0.6522  0.6522
Pb  0.8339  0.8339  0.8339

---

(7)
Crystalline PdCNF2 at its relaxed geometry, computed with PBE-GGA.

Output
formation energy from raw total energies	668	kJ/mol of formula units
energy above the lowest structure with this stoichiometry	1290.3	meV per atom
total moment	1.40	μB per formula unit
symmetry	P4/mmm, No. 123
DOS(E_F)	2.65	states/eV/f.u.
calculated total energy	-3.91	eV/atom

a = 4.2763 Å, b = 4.2763 Å, c = 3.7236 Å
α = 90.00°, β = 90.00°, γ = 90.00°
Sites, in units of the cell vectors:
Pd  0.0000  0.0000  0.0000
C  0.5000  0.5000  0.5000
N  0.0000  0.0000  0.5000
F  0.0000  0.5000  0.0000
F  0.5000  0.0000  0.0000

---

(8)
Crystalline Cs2ZrTcNi at its relaxed geometry, computed with PBE-GGA.

Output
total moment	1.59	μB per formula unit
symmetry	P4/mmm, No. 123
DOS(E_F)	6.33	states/eV/f.u.
E_form	1.716	eV per atom
calculated total energy	-3.56	eV/atom

a = 6.3326 Å, b = 6.3326 Å, c = 4.9430 Å
α = 90.00°, β = 90.00°, γ = 90.00°
Sites, in units of the cell vectors:
Cs  0.0000  0.5000  0.0000
Cs  0.5000  0.0000  0.0000
Zr  0.0000  0.0000  0.5000
Tc  0.5000  0.5000  0.5000
Ni  0.0000  0.0000  0.0000

---

(9)
Crystalline U2Zn16Pt at its relaxed geometry, computed with PBE-GGA.

Output
total moment	5.36	μB per formula unit
symmetry	R3m, No. 160
DOS(E_F)	21.97	states/eV/f.u.
E_form	-0.112	eV per atom
calculated total energy	-2.69	eV/atom

a = 6.7834 Å, b = 6.7834 Å, c = 6.7834 Å
α = 82.86°, β = 82.86°, γ = 82.86°
Sites, in units of the cell vectors:
U  0.0000  0.0000  0.0000
U  0.3245  0.3245  0.3245
Zn  0.0153  0.0153  0.4982
Zn  0.0153  0.4982  0.0153
Zn  0.1579  0.6596  0.6596
Zn  0.3069  0.3069  0.8159
Zn  0.3069  0.8159  0.3069
Zn  0.3665  0.6580  0.9501
Zn  0.3665  0.9501  0.6580
Zn  0.4982  0.0153  0.0153
Zn  0.6580  0.3665  0.9501
Zn  0.6580  0.9501  0.3665
Zn  0.6596  0.1579  0.6596
Zn  0.6596  0.6596  0.1579
Zn  0.7611  0.7611  0.7611
Zn  0.8159  0.3069  0.3069
Zn  0.9501  0.3665  0.6580
Zn  0.9501  0.6580  0.3665
Pt  0.5511  0.5511  0.5511

---

(10)
Crystalline Tm2Si2Pt5 at its relaxed geometry, computed with PBE-GGA.

Output
formation energy from raw total energies	-979	kJ/mol of formula units
total moment	0.00	μB per formula unit
symmetry	P4/mmm, No. 123
DOS(E_F)	3.52	states/eV/f.u.
calculated total energy	-6.68	eV/atom

a = 4.1513 Å, b = 4.1513 Å, c = 8.9343 Å
α = 90.00°, β = 90.00°, γ = 90.00°
Sites, in units of the cell vectors:
Tm  0.0000  0.0000  0.0000
Tm  0.0000  0.0000  0.5000
Si  0.5000  0.5000  0.1298
Si  0.5000  0.5000  0.8702
Pt  0.0000  0.5000  0.2659
Pt  0.0000  0.5000  0.7341
Pt  0.5000  0.0000  0.2659
Pt  0.5000  0.0000  0.7341
Pt  0.5000  0.5000  0.5000

---

(11)
Crystalline KAcTe2 at its relaxed geometry, computed with PBE-GGA.

Output
formation energy from raw total energies	-574	kJ/mol of formula units
energy above the lowest structure with this stoichiometry	8.9	meV per atom
total moment	0.00	μB per formula unit
symmetry	P6_3/mmc, No. 194
DOS(E_F)	0.00	states/eV/f.u.
calculated total energy	-4.36	eV/atom

a = 4.8347 Å, b = 4.8347 Å, c = 16.7165 Å
α = 90.00°, β = 90.00°, γ = 120.00°
Sites, in units of the cell vectors:
K  0.3333  0.6667  0.2500
K  0.6667  0.3333  0.7500
Ac  0.0000  0.0000  0.0000
Ac  0.0000  0.0000  0.5000
Te  0.3333  0.6667  0.6107
Te  0.3333  0.6667  0.8893
Te  0.6667  0.3333  0.1107
Te  0.6667  0.3333  0.3893

---

(12)
Crystalline HoInF at its relaxed geometry, computed with PBE-GGA.

Output
formation energy from raw total energies	-530	kJ/mol of formula units
total moment	0.00	μB per formula unit
symmetry	C2/m, No. 12
DOS(E_F)	1.45	states/eV/f.u.
calculated total energy	-4.89	eV/atom

a = 6.5476 Å, b = 6.5476 Å, c = 5.9704 Å
α = 107.96°, β = 107.96°, γ = 33.69°
Sites, in units of the cell vectors:
Ho  0.1818  0.1818  0.2112
Ho  0.8182  0.8182  0.7888
In  0.4549  0.4549  0.2295
In  0.5451  0.5451  0.7705
F  0.2358  0.2358  0.6203
F  0.7642  0.7642  0.3797